Dy4MgHg2 | PBE | optimized geometry

Output
- Total magnetization: 0.00 μB per cell
- E_tot: -21.1 eV per cell
- SG: No. 166

Lattice parameters (Å, degrees): 5.2440 5.2440 9.2855 73.60 73.60 60.00
Atoms (fractional coordinates):
Dy: 0.7173 0.7173 0.8481
Dy: 0.8738 0.8738 0.3785
Dy: 0.2827 0.2827 0.1519
Dy: 0.1262 0.1262 0.6215
Mg: 0.5000 0.5000 0.5000
Hg: 0.6023 0.6023 0.1931
Hg: 0.3977 0.3977 0.8069


Dy2MgHg3 | PBE | optimized geometry

Output
- Total magnetization: 0.00 μB per cell
- E_tot: -29.0 eV per cell
- SG: No. 164

Lattice parameters (Å, degrees): 5.1137 5.1137 12.7572 90.00 90.00 120.00
Atoms (fractional coordinates):
Dy: 0.0000 0.0000 0.5000
Dy: 0.3333 0.6667 0.1781
Dy: 0.6667 0.3333 0.8219
Dy: 0.0000 0.0000 0.0000
Mg: 0.3333 0.6667 0.6625
Mg: 0.6667 0.3333 0.3375
Hg: 0.3333 0.6667 0.4198
Hg: 0.6667 0.3333 0.0838
Hg: 0.0000 0.0000 0.7456
Hg: 0.0000 0.0000 0.2544
Hg: 0.3333 0.6667 0.9162
Hg: 0.6667 0.3333 0.5802


DyMg2Hg | PBE | optimized geometry

Output
- Total magnetization: 0.00 μB per cell
- E_tot: -8.4 eV per cell
- SG: No. 8

Lattice parameters (Å, degrees): 3.4788 3.4788 10.0356 79.72 79.72 59.40
Atoms (fractional coordinates):
Dy: 0.4953 0.4953 0.4997
Mg: 0.0744 0.0744 0.7779
Mg: 0.2613 0.2613 0.2224
Hg: 0.6689 0.6689 0.0001


Dy3MgHg | PBE | optimized geometry

Output
- Total magnetization: 0.00 μB per cell
- E_tot: -33.4 eV per cell
- SG: No. 63

Lattice parameters (Å, degrees): 5.1518 5.1464 10.6736 90.00 76.03 90.00
Atoms (fractional coordinates):
Dy: 0.7623 0.2500 0.1238
Dy: 0.3808 0.2500 0.8867
Dy: 0.5732 0.2500 0.5020
Dy: 0.2675 0.7500 0.1133
Dy: 0.8861 0.7500 0.8762
Dy: 0.0752 0.7500 0.4980
Mg: 0.4777 0.7500 0.6930
Mg: 0.1707 0.2500 0.3070
Hg: 0.6644 0.7500 0.3195
Hg: 0.9840 0.2500 0.6805


DyMgHg2 | PBE | optimized geometry

Output
- Total magnetization: 0.06 μB per cell
- E_tot: -8.3 eV per cell
- SG: No. 123

Lattice parameters (Å, degrees): 3.5518 3.5518 7.3824 90.00 90.00 90.00
Last column: magnetic moment on the atom in μB.
Atoms (fractional coordinates):
Mg: 0.5000 0.5000 0.0000  0.00
Hg: 0.0000 0.0000 0.7685  0.00
Hg: 0.0000 0.0000 0.2315  0.00
Dy: 0.5000 0.5000 0.5000  0.06


DyMg2Hg | PBE | optimized geometry

Output
- Total magnetization: 0.00 μB per cell
- E_tot: -9.1 eV per cell
- SG: No. 123

Lattice parameters (Å, degrees): 4.8680 4.4471 4.4471 90.00 90.00 90.00
Atoms (fractional coordinates):
Mg: 0.0000 0.0000 0.5000
Mg: 0.0000 0.5000 0.0000
Hg: 0.5000 0.0000 0.0000
Dy: 0.5000 0.5000 0.5000


Dy3MgHg2 | PBE | optimized geometry

Output
- Total magnetization: 0.00 μB per cell
- E_tot: -18.2 eV per cell
- SG: No. 65

Lattice parameters (Å, degrees): 3.7459 5.2166 8.3986 108.09 90.00 90.00
Atoms (fractional coordinates):
Dy: 0.5000 0.5000 0.0000
Dy: 0.5000 0.8292 0.6584
Dy: 0.5000 0.1708 0.3416
Mg: 0.0000 0.0000 0.0000
Hg: 0.0000 0.3452 0.6903
Hg: 0.0000 0.6548 0.3097


DyMgHg3 | PBE | optimized geometry

Output
- Total magnetization: 0.00 μB per cell
- E_tot: -16.0 eV per cell
- SG: No. 12

Lattice parameters (Å, degrees): 5.2078 5.4010 9.7559 106.07 104.59 90.00
Atoms (fractional coordinates):
Dy: 0.1302 0.3900 0.7801
Dy: 0.8698 0.6100 0.2199
Mg: 0.3767 0.1234 0.2467
Mg: 0.6233 0.8766 0.7533
Hg: 0.7825 0.0331 0.0661
Hg: 0.2175 0.9669 0.9339
Hg: 0.4490 0.6949 0.3897
Hg: 0.5510 0.3051 0.6103
Hg: 0.0402 0.7916 0.5831
Hg: 0.9598 0.2084 0.4169


Dy2MgHg4 | PBE | optimized geometry

Output
- Total magnetization: 0.00 μB per cell
- E_tot: -12.3 eV per cell
- SG: No. 139

Lattice parameters (Å, degrees): 5.1934 5.1934 8.4787 107.83 107.83 90.00
Atoms (fractional coordinates):
Dy: 0.6149 0.6149 0.2297
Dy: 0.3851 0.3851 0.7703
Mg: 0.0000 0.0000 0.0000
Hg: 0.8121 0.8121 0.6242
Hg: 0.1879 0.1879 0.3758
Hg: 0.0000 0.5000 0.0000
Hg: 0.5000 0.0000 0.0000


Dy3Mg2Hg2 | PBE | optimized geometry

Output
- Total magnetization: 0.32 μB per cell
- E_tot: -19.0 eV per cell
- SG: No. 65

Lattice parameters (Å, degrees): 4.6179 3.3739 11.7600 90.00 78.68 90.00
Last column: magnetic moment on the atom in μB.
Atoms (fractional coordinates):
Dy: 0.8549 0.0000 0.2902  0.05
Dy: 0.0000 0.0000 0.0000  0.17
Dy: 0.1451 0.0000 0.7098  0.05
Mg: 0.7158 0.5000 0.5684  0.00
Mg: 0.2842 0.5000 0.4316  0.00
Hg: 0.5781 0.5000 0.8439  0.00
Hg: 0.4219 0.5000 0.1561  0.00


Dy2MgHg8 | PBE | optimized geometry

Output
- Total magnetization: 0.00 μB per cell
- E_tot: -15.9 eV per cell
- SG: No. 12

Lattice parameters (Å, degrees): 4.7906 6.8858 8.8406 108.10 105.72 90.00
Atoms (fractional coordinates):
Dy: 0.7872 0.3229 0.5745
Dy: 0.2128 0.6771 0.4255
Mg: 0.5000 0.0000 0.0000
Hg: 0.3945 0.5800 0.7890
Hg: 0.6493 0.8827 0.2986
Hg: 0.8380 0.8128 0.6759
Hg: 0.9788 0.2692 0.9576
Hg: 0.1620 0.1872 0.3241
Hg: 0.3507 0.1173 0.7014
Hg: 0.6055 0.4200 0.2110
Hg: 0.0212 0.7308 0.0424


Dy2Mg3Hg3 | PBE | optimized geometry

Output
- Total magnetization: 0.00 μB per cell
- E_tot: -17.9 eV per cell
- SG: No. 160

Lattice parameters (Å, degrees): 5.0785 5.0785 8.8286 73.28 73.28 60.00
Atoms (fractional coordinates):
Dy: 0.0053 0.0053 0.9840
Dy: 0.4953 0.4953 0.5140
Mg: 0.2474 0.2474 0.2579
Mg: 0.7510 0.7510 0.7471
Mg: 0.6232 0.6232 0.1303
Hg: 0.1268 0.1268 0.6197
Hg: 0.8825 0.8825 0.3525
Hg: 0.3685 0.3685 0.8946


Q: Number 1 is which compound?
A: Dy4MgHg2